(1)
DFT (GGA-PBE) results for a relaxed Er8TmMg2 crystal.

CIF file:
```
data_Er8TmMg2
_cell_length_a 8.803
_cell_length_b 8.803
_cell_length_c 5.557
_cell_angle_alpha 102.11
_cell_angle_beta 102.11
_cell_angle_gamma 121.12
_space_group_name_H-M_alt 'P 1'
_space_group_IT_number 1
loop_
_space_group_symop_operation_xyz
'x,y,z'
loop_
_atom_site_label
_atom_site_type_symbol
_atom_site_fract_x
_atom_site_fract_y
_atom_site_fract_z
Er1 Er 0.098 0.320 0.628
Er2 Er 0.212 0.788 0.000
Er3 Er 0.320 0.098 0.628
Er4 Er 0.404 0.404 0.202
Er5 Er 0.596 0.596 0.798
Er6 Er 0.680 0.902 0.372
Er7 Er 0.788 0.212 0.000
Er8 Er 0.902 0.680 0.372
Tm1 Tm 0.000 0.000 0.000
Mg1 Mg 0.307 0.693 0.500
Mg2 Mg 0.693 0.307 0.500
```

Output
- crystal system = monoclinic
- energy above the most stable polymorph in this dataset (meV/atom) = 134



(2)
DFT (GGA-PBE) results for a relaxed ErTm14Mg crystal.

CIF file:
```
data_ErTm14Mg
_cell_length_a 11.235
_cell_length_b 6.985
_cell_length_c 6.985
_cell_angle_alpha 59.98
_cell_angle_beta 90.00
_cell_angle_gamma 90.00
_space_group_name_H-M_alt 'P 1'
_space_group_IT_number 1
loop_
_space_group_symop_operation_xyz
'x,y,z'
loop_
_atom_site_label
_atom_site_type_symbol
_atom_site_fract_x
_atom_site_fract_y
_atom_site_fract_z
Er1 Er 0.000 0.000 0.000
Tm1 Tm 0.000 0.000 0.507
Tm2 Tm 0.000 0.507 0.000
Tm3 Tm 0.248 0.336 0.336
Tm4 Tm 0.249 0.335 0.837
Tm5 Tm 0.249 0.837 0.335
Tm6 Tm 0.252 0.836 0.836
Tm7 Tm 0.500 0.169 0.169
Tm8 Tm 0.500 0.171 0.669
Tm9 Tm 0.500 0.669 0.171
Tm10 Tm 0.500 0.669 0.669
Tm11 Tm 0.748 0.836 0.836
Tm12 Tm 0.751 0.335 0.837
Tm13 Tm 0.751 0.837 0.335
Tm14 Tm 0.752 0.336 0.336
Mg1 Mg 0.000 0.503 0.503
```

Output
- crystal system = orthorhombic



(3)
DFT (GGA-PBE) results for a relaxed ErTm3Mg3 crystal.

CIF file:
```
data_ErTm3Mg3
_cell_length_a 9.014
_cell_length_b 5.460
_cell_length_c 9.018
_cell_angle_alpha 90.00
_cell_angle_beta 119.97
_cell_angle_gamma 90.00
_space_group_name_H-M_alt 'P 1'
_space_group_IT_number 1
loop_
_space_group_symop_operation_xyz
'x,y,z'
loop_
_atom_site_label
_atom_site_type_symbol
_atom_site_fract_x
_atom_site_fract_y
_atom_site_fract_z
Er1 Er 0.167 0.250 0.333
Er2 Er 0.833 0.750 0.667
Tm1 Tm 0.259 0.750 0.804
Tm2 Tm 0.305 0.250 0.046
Tm3 Tm 0.454 0.250 0.759
Tm4 Tm 0.546 0.750 0.241
Tm5 Tm 0.695 0.750 0.954
Tm6 Tm 0.741 0.250 0.196
Mg1 Mg 0.021 0.250 0.616
Mg2 Mg 0.116 0.750 0.095
Mg3 Mg 0.405 0.750 0.521
Mg4 Mg 0.595 0.250 0.479
Mg5 Mg 0.884 0.250 0.905
Mg6 Mg 0.979 0.750 0.384
```

Output
- crystal system = monoclinic



(4)
DFT (GGA-PBE) results for a relaxed Er7TmMg2 crystal.

CIF file:
```
data_Er7TmMg2
_cell_length_a 9.256
_cell_length_b 9.256
_cell_length_c 5.134
_cell_angle_alpha 90.00
_cell_angle_beta 90.00
_cell_angle_gamma 123.63
_space_group_name_H-M_alt 'P 1'
_space_group_IT_number 1
loop_
_space_group_symop_operation_xyz
'x,y,z'
loop_
_atom_site_label
_atom_site_type_symbol
_atom_site_fract_x
_atom_site_fract_y
_atom_site_fract_z
Er1 Er 0.000 0.000 0.000
Er2 Er 0.207 0.430 0.000
Er3 Er 0.293 0.707 0.500
Er4 Er 0.430 0.207 0.000
Er5 Er 0.570 0.793 0.000
Er6 Er 0.707 0.293 0.500
Er7 Er 0.793 0.570 0.000
Tm1 Tm 0.500 0.500 0.500
Mg1 Mg 0.200 0.800 0.000
Mg2 Mg 0.800 0.200 0.000
```

Output
- crystal system = orthorhombic



Q: Which theoretical density values were calculated for the entries above? A: 7.75, 8.95, 6.45, 6.29, in g cm⁻³.
Q: Which V values were calculated for the entries above? A: 333, 475, 192, 366, in Å³/f.u..
Q: Which E_form values were calculated for the entries above? A: 0.155, 0.017, 0.011, 0.587, in eV/atom.